a | # PBE-GGA PmSnTe3, optimized geometry
data_PmSnTe3
_space_group_name_H-M_alt 'P n m a'
_space_group_IT_number 62
_space_group_name_Hall '-P 2ac 2n'
_cell_length_a 8.8299
_cell_length_b 4.5524
_cell_length_c 15.5068
_cell_angle_alpha 90.00
_cell_angle_beta 90.00
_cell_angle_gamma 90.00
loop_
_atom_site_label
_atom_site_type_symbol
_atom_site_fract_x
_atom_site_fract_y
_atom_site_fract_z
Pm1 Pm 0.0880 0.2500 0.1662
Sn1 Sn 0.1457 0.7500 0.4421
Te1 Te 0.0430 0.7500 0.6306
Te2 Te 0.1436 0.7500 0.0096
Te3 Te 0.1795 0.2500 0.7826
# Volume: 623.3 Å³ per cell
# N(E_F): 0.28 states/eV/atom

***

b | # PBE-GGA PmSnTe3, optimized geometry
data_PmSnTe3
_space_group_name_H-M_alt 'C m c m'
_space_group_IT_number 63
_space_group_name_Hall '-C 2c 2'
_cell_length_a 5.2364
_cell_length_b 17.8905
_cell_length_c 7.9779
_cell_angle_alpha 90.00
_cell_angle_beta 90.00
_cell_angle_gamma 90.00
loop_
_atom_site_label
_atom_site_type_symbol
_atom_site_fract_x
_atom_site_fract_y
_atom_site_fract_z
Pm1 Pm 0.0000 0.1948 0.2500
Sn1 Sn 0.0000 0.4462 0.2500
Te1 Te 0.0000 0.0170 0.2500
Te2 Te 0.0000 0.3315 0.5079
# Volume: 747.4 Å³ per cell
# N(E_F): 0.32 states/eV/atom

***

Name the most stable of them. a.

***

a | # PBE-GGA Pm2SnTe, optimized geometry
data_Pm2SnTe
_space_group_name_H-M_alt 'F m -3 m'
_space_group_IT_number 225
_space_group_name_Hall '-F 4 2 3'
_cell_length_a 7.7640
_cell_length_b 7.7640
_cell_length_c 7.7640
_cell_angle_alpha 90.00
_cell_angle_beta 90.00
_cell_angle_gamma 90.00
loop_
_atom_site_label
_atom_site_type_symbol
_atom_site_fract_x
_atom_site_fract_y
_atom_site_fract_z
Pm1 Pm 0.2500 0.2500 0.2500
Sn1 Sn 0.0000 0.0000 0.0000
Te1 Te 0.0000 0.0000 0.5000
# Volume: 468.0 Å³ per cell
# N(E_F): 0.82 states/eV/atom

***

b | # PBE-GGA Pm2SnTe, optimized geometry
data_Pm2SnTe
_space_group_name_H-M_alt 'R 3 m'
_space_group_IT_number 160
_space_group_name_Hall 'R 3 -2"'
_cell_length_a 4.4403
_cell_length_b 4.4403
_cell_length_c 23.0972
_cell_angle_alpha 90.00
_cell_angle_beta 90.00
_cell_angle_gamma 120.00
loop_
_atom_site_label
_atom_site_type_symbol
_atom_site_fract_x
_atom_site_fract_y
_atom_site_fract_z
Pm1 Pm 0.0000 0.0000 0.0000
Pm2 Pm 0.0000 0.0000 0.1784
Sn1 Sn 0.0000 0.0000 0.5900
Te1 Te 0.0000 0.0000 0.4207
# Volume: 394.4 Å³ per cell
# N(E_F): 0.58 states/eV/atom

***

Name the most stable of them. b.

***

a | # PBE-GGA Pm2SnTe, optimized geometry
data_Pm2SnTe
_space_group_name_H-M_alt 'C 1 2/c 1'
_space_group_IT_number 15
_space_group_name_Hall '-C 2yc'
_cell_length_a 8.3832
_cell_length_b 24.4351
_cell_length_c 4.7402
_cell_angle_alpha 90.00
_cell_angle_beta 90.01
_cell_angle_gamma 90.00
loop_
_atom_site_label
_atom_site_type_symbol
_atom_site_fract_x
_atom_site_fract_y
_atom_site_fract_z
Pm1 Pm 0.2408 0.0624 0.2516
Pm2 Pm 0.2502 0.1852 0.7502
Sn1 Sn 0.0000 0.2027 0.2500
Sn2 Sn 0.0000 0.4560 0.2500
Te1 Te 0.0000 0.0677 0.7500
Te2 Te 0.0000 0.3396 0.7500
# Volume: 971.0 Å³ per cell
# N(E_F): 0.54 states/eV/atom

***

b | # PBE-GGA Pm2SnTe, optimized geometry
data_Pm2SnTe
_space_group_name_H-M_alt 'R -3 m'
_space_group_IT_number 166
_space_group_name_Hall '-R 3 2"'
_cell_length_a 4.4847
_cell_length_b 4.4847
_cell_length_c 22.1713
_cell_angle_alpha 90.00
_cell_angle_beta 90.00
_cell_angle_gamma 120.00
loop_
_atom_site_label
_atom_site_type_symbol
_atom_site_fract_x
_atom_site_fract_y
_atom_site_fract_z
Pm1 Pm 0.0000 0.0000 0.2468
Sn1 Sn 0.0000 0.0000 0.5000
Te1 Te 0.0000 0.0000 0.0000
# Volume: 386.2 Å³ per cell
# N(E_F): 0.37 states/eV/atom

***

c | # PBE-GGA Pm2SnTe, optimized geometry
data_Pm2SnTe
_space_group_name_H-M_alt 'P 4/m m m'
_space_group_IT_number 123
_space_group_name_Hall '-P 4 2'
_cell_length_a 3.7314
_cell_length_b 3.7314
_cell_length_c 8.2939
_cell_angle_alpha 90.00
_cell_angle_beta 90.00
_cell_angle_gamma 90.00
loop_
_atom_site_label
_atom_site_type_symbol
_atom_site_fract_x
_atom_site_fract_y
_atom_site_fract_z
Pm1 Pm 0.0000 0.0000 0.2429
Sn1 Sn 0.5000 0.5000 0.5000
Te1 Te 0.5000 0.5000 0.0000
# Volume: 115.5 Å³ per cell
# N(E_F): 0.98 states/eV/atom

***

Name the most stable of them. b.

***

a | # PBE-GGA PmThSnTe, optimized geometry
data_PmThSnTe
_space_group_name_H-M_alt 'R 3 m'
_space_group_IT_number 160
_space_group_name_Hall 'R 3 -2"'
_cell_length_a 4.5300
_cell_length_b 4.5300
_cell_length_c 21.8443
_cell_angle_alpha 90.00
_cell_angle_beta 90.00
_cell_angle_gamma 120.00
loop_
_atom_site_label
_atom_site_type_symbol
_atom_site_fract_x
_atom_site_fract_y
_atom_site_fract_z
Pm1 Pm 0.0000 0.0000 0.0000
Th1 Th 0.0000 0.0000 0.4930
Sn1 Sn 0.0000 0.0000 0.7462
Te1 Te 0.0000 0.0000 0.2470
# Volume: 388.2 Å³ per cell
# N(E_F): 0.53 states/eV/atom

***

b | # PBE-GGA PmThSnTe, optimized geometry
data_PmThSnTe
_space_group_name_H-M_alt 'F -4 3 m'
_space_group_IT_number 216
_space_group_name_Hall 'F -4 2 3'
_cell_length_a 7.7395
_cell_length_b 7.7395
_cell_length_c 7.7395
_cell_angle_alpha 90.00
_cell_angle_beta 90.00
_cell_angle_gamma 90.00
loop_
_atom_site_label
_atom_site_type_symbol
_atom_site_fract_x
_atom_site_fract_y
_atom_site_fract_z
Pm1 Pm 0.0000 0.0000 0.0000
Th1 Th 0.0000 0.0000 0.5000
Sn1 Sn 0.2500 0.2500 0.7500
Te1 Te 0.2500 0.2500 0.2500
# Volume: 463.6 Å³ per cell
# N(E_F): 0.84 states/eV/atom

***

Name the most stable of them. a.

***

a | # PBE-GGA PmTlSn2, optimized geometry
data_PmTlSn2
_space_group_name_H-M_alt 'P 4/m m m'
_space_group_IT_number 123
_space_group_name_Hall '-P 4 2'
_cell_length_a 4.7280
_cell_length_b 4.7280
_cell_length_c 4.8782
_cell_angle_alpha 90.00
_cell_angle_beta 90.00
_cell_angle_gamma 90.00
loop_
_atom_site_label
_atom_site_type_symbol
_atom_site_fract_x
_atom_site_fract_y
_atom_site_fract_z
Pm1 Pm 0.0000 0.0000 0.0000
Tl1 Tl 0.5000 0.5000 0.0000
Sn1 Sn 0.0000 0.5000 0.5000
# Volume: 109.0 Å³ per cell
# N(E_F): 0.35 states/eV/atom

***

b | # PBE-GGA PmTlSn2, optimized geometry
data_PmTlSn2
_space_group_name_H-M_alt 'R -3 m'
_space_group_IT_number 166
_space_group_name_Hall '-R 3 2"'
_cell_length_a 5.2058
_cell_length_b 5.2058
_cell_length_c 14.9991
_cell_angle_alpha 90.00
_cell_angle_beta 90.00
_cell_angle_gamma 120.00
loop_
_atom_site_label
_atom_site_type_symbol
_atom_site_fract_x
_atom_site_fract_y
_atom_site_fract_z
Pm1 Pm 0.0000 0.0000 0.0000
Tl1 Tl 0.0000 0.0000 0.5000
Sn1 Sn 0.0000 0.0000 0.2308
# Volume: 352.0 Å³ per cell
# N(E_F): 0.70 states/eV/atom

***

Name the most stable of them. a.

***

a | # PBE-GGA Pm3Tl2Sn, optimized geometry
data_Pm3Tl2Sn
_space_group_name_H-M_alt 'C m m m'
_space_group_IT_number 65
_space_group_name_Hall '-C 2 2'
_cell_length_a 5.1597
_cell_length_b 15.4443
_cell_length_c 4.3424
_cell_angle_alpha 90.00
_cell_angle_beta 90.00
_cell_angle_gamma 90.00
loop_
_atom_site_label
_atom_site_type_symbol
_atom_site_fract_x
_atom_site_fract_y
_atom_site_fract_z
Pm1 Pm 0.0000 0.0000 0.0000
Pm2 Pm 0.0000 0.3366 0.0000
Tl1 Tl 0.0000 0.1706 0.5000
Sn1 Sn 0.0000 0.5000 0.5000
# Volume: 346.0 Å³ per cell
# N(E_F): 0.66 states/eV/atom

***

b | # PBE-GGA Pm3Tl2Sn, optimized geometry
data_Pm3Tl2Sn
_space_group_name_H-M_alt 'C 1 2/c 1'
_space_group_IT_number 15
_space_group_name_Hall '-C 2yc'
_cell_length_a 16.5454
_cell_length_b 6.5608
_cell_length_c 6.6154
_cell_angle_alpha 90.00
_cell_angle_beta 102.50
_cell_angle_gamma 90.00
loop_
_atom_site_label
_atom_site_type_symbol
_atom_site_fract_x
_atom_site_fract_y
_atom_site_fract_z
Pm1 Pm 0.0000 0.1400 0.2500
Pm2 Pm 0.1683 0.3831 0.5948
Tl1 Tl 0.1656 0.1177 0.0598
Sn1 Sn 0.0000 0.3599 0.7500
# Volume: 701.1 Å³ per cell
# N(E_F): 0.61 states/eV/atom

***

Name the most stable of them. a.